First-principles (GGA-PBE) data for a geometry-optimized Sr4SbAsN structure, as listed in the Alexandria database.

Output
Its formation energy without anion corrections is -897 meV/atom. As for the density of states at the Fermi level: 10.0 states/eV per cell. As for the volume: 424.7 Å³/cell. For the uncorrected energy, the calculation gives -4.300 eV per atom.

a b c (Å): 9.093 9.093 7.131
angles (deg): 90.00 90.00 133.91
Sites, in units of the cell vectors:
Sr 0.000 0.500 0.000
Sr 0.000 0.500 0.500
Sr 0.079 0.921 0.750
Sr 0.412 0.588 0.750
Sr 0.500 0.000 0.000
Sr 0.500 0.000 0.500
Sr 0.588 0.412 0.250
Sr 0.921 0.079 0.250
Sb 0.390 0.610 0.250
Sb 0.610 0.390 0.750
As 0.116 0.884 0.250
As 0.884 0.116 0.750
N 0.251 0.749 0.750
N 0.749 0.251 0.250

First-principles (GGA-PBE) data for a geometry-optimized Sr6Sb2AsN structure, as listed in the Alexandria database.

Output
Its formation energy without anion corrections is -858 meV/atom. As for the density of states at the Fermi level: 0.1 states/eV per cell. As for the volume: 342.6 Å³/cell. For the uncorrected energy, the calculation gives -3.989 eV per atom.

a b c (Å): 5.598 5.598 10.931
angles (deg): 90.00 90.00 90.00
Sites, in units of the cell vectors:
Sr 0.000 0.000 0.226
Sr 0.000 0.000 0.774
Sr 0.000 0.500 0.000
Sr 0.000 0.500 0.500
Sr 0.500 0.000 0.000
Sr 0.500 0.000 0.500
Sb 0.500 0.500 0.238
Sb 0.500 0.500 0.762
As 0.000 0.000 0.500
N 0.000 0.000 0.000

First-principles (GGA-PBE) data for a geometry-optimized Ta2SbAsN structure, as listed in the Alexandria database.

Output
Its formation energy without anion corrections is 1000 meV/atom. As for the density of states at the Fermi level: 4.4 states/eV per cell. As for the volume: 92.5 Å³/cell. For the uncorrected energy, the calculation gives -7.161 eV per atom.

a b c (Å): 4.964 4.964 3.755
angles (deg): 90.00 90.00 90.00
Sites, in units of the cell vectors:
Ta 0.000 0.500 0.000
Ta 0.500 0.000 0.000
Sb 0.000 0.000 0.500
As 0.500 0.500 0.000
N 0.500 0.500 0.500

Look up the density of states at the Fermi level of the second one.
0.1 states/eV per cell